Model one:
LiPmGd2 after structural relaxation, computed with PBE-GGA.

Calculated values
As for the volume: 30.18 A^3/atom.

Cell lengths 5.711, 5.711, 3.701 Å; angles 90.00, 90.00, 90.00 degrees
Space group P4/mmm (No. 123)
One atom of each set of equivalent atoms:
Li1 0.000 0.000 0.000 x1
Pm1 0.500 0.500 0.000 x1
Gd1 0.000 0.500 0.500 x2

---

Model two:
LiPmGd2 after structural relaxation, computed with PBE-GGA.

Calculated values
As for the volume: 30.34 A^3/atom.

Cell lengths 7.859, 7.859, 7.859 Å; angles 90.00, 90.00, 90.00 degrees
Space group Fm-3m (No. 225)
One atom of each set of equivalent atoms:
Li1 0.000 0.000 0.000 x4
Pm1 0.000 0.000 0.500 x4
Gd1 0.250 0.250 0.250 x8

---

What should be chosen as the least stable of them? Choose model two.

---

Model one:
LiGd2Pu after structural relaxation, computed with PBE-GGA.

Calculated values
As for the volume: 27.80 A^3/atom.

Cell lengths 7.634, 7.634, 7.634 Å; angles 90.00, 90.00, 90.00 degrees
Space group Fm-3m (No. 225)
One atom of each set of equivalent atoms:
Li1 0.000 0.000 0.000 x4
Gd1 0.250 0.250 0.250 x8
Pu1 0.000 0.000 0.500 x4

---

Model two:
LiGd2Pu after structural relaxation, computed with PBE-GGA.

Calculated values
As for the volume: 28.26 A^3/atom.

Cell lengths 3.564, 3.564, 8.903 Å; angles 90.00, 90.00, 90.00 degrees
Space group P4/mmm (No. 123)
One atom of each set of equivalent atoms:
Li1 0.000 0.000 0.000 x1
Gd1 0.500 0.500 0.233 x2
Pu1 0.000 0.000 0.500 x1

---

Model three:
LiGd2Pu after structural relaxation, computed with PBE-GGA.

Calculated values
As for the volume: 29.27 A^3/atom.

Cell lengths 3.4870, 3.4870, 33.3546 Å; angles 90.00, 90.00, 120.00 degrees
Space group R-3m (No. 166, hexagonal axes)
One atom of each set of equivalent atoms:
Li1 0.0000 0.0000 0.0000 x3
Gd1 0.0000 0.0000 0.2501 x6
Pu1 0.0000 0.0000 0.5000 x3

---

What should be chosen as the least stable of them? Choose model one.